No. 1
## CsSn2Te (GGA-PBE)

Data for a geometry-optimized CsSn2Te structure.

Cell lengths 9.5114, 9.5114, 7.6011 Å; angles 51.27, 51.27, 90.00 degrees
Element x y z (fractional)
1 Cs 0.0000 0.0000 0.0000
2 Cs 0.7500 0.2500 0.5000
3 Te 0.5000 0.5000 0.0000
4 Te 0.2500 0.7500 0.5000
5 Sn 0.5692 0.1250 0.2500
6 Sn 0.1808 0.6250 0.2500
7 Sn 0.3750 0.4308 0.7500
8 Sn 0.8750 0.8192 0.7500

Properties
D(E_F) (states/eV per cell): 7.0
Total energy (eV per cell): -24.44
Symmetry: I-42d

***

No. 2
## CsSnTe (GGA-PBE)

Data for a geometry-optimized CsSnTe structure.

Cell lengths 7.7642, 5.1755, 10.5779 Å; angles 89.76, 98.08, 48.17 degrees
Element x y z (fractional)
1 Cs 0.9834 0.1236 0.4791
2 Cs 0.3469 0.2527 0.1026
3 Sn 0.5515 0.0533 0.7441
4 Sn 0.7813 0.3225 0.8375
5 Te 0.4878 0.1193 0.4798
6 Te 0.8425 0.2570 0.1017

Properties
D(E_F) (states/eV per cell): 2.4
Total energy (eV per cell): -19.26
Distance to the lowest polymorph of the same formula (meV per atom): 7
Symmetry: P1

***

No. 3
## Cs2Sn2Te (GGA-PBE)

Data for a geometry-optimized Cs2Sn2Te structure.

Cell lengths 5.8955, 5.8955, 8.3283 Å; angles 69.27, 69.27, 90.00 degrees
Element x y z (fractional)
1 Cs 0.7500 0.2500 0.5000
2 Cs 0.2500 0.7500 0.5000
3 Te 0.0000 0.0000 0.0000
4 Sn 0.4102 0.4102 0.1796
5 Sn 0.5898 0.5898 0.8204

Properties
D(E_F) (states/eV per cell): 3.0
Total energy (eV per cell): -12.29
Distance to the lowest polymorph of the same formula (meV per atom): 369
Symmetry: I4/mmm

***

No. 4
## Cs3SnTe4 (GGA-PBE)

Data for a geometry-optimized Cs3SnTe4 structure.

Cell lengths 9.2751, 9.1480, 10.4462 Å; angles 90.00, 90.00, 90.00 degrees
Element x y z (fractional)
1 Cs 0.4840 0.0142 0.0000
2 Cs 0.0120 0.5631 0.2318
3 Cs 0.5120 0.4369 0.2682
4 Cs 0.9840 0.9858 0.5000
5 Cs 0.5120 0.4369 0.7318
6 Cs 0.0120 0.5631 0.7682
7 Sn 0.9999 0.1383 0.0000
8 Sn 0.4999 0.8617 0.5000
9 Te 0.8598 0.8600 0.0000
10 Te 0.7756 0.3429 0.0000
11 Te 0.1861 0.1705 0.2184
12 Te 0.6861 0.8295 0.2816
13 Te 0.2756 0.6571 0.5000
14 Te 0.3598 0.1400 0.5000
15 Te 0.6861 0.8295 0.7184
16 Te 0.1861 0.1705 0.7816

Properties
D(E_F) (states/eV per cell): 12.0
Total energy (eV per cell): -49.17
Distance to the lowest polymorph of the same formula (meV per atom): 49
Symmetry: Pmn2_1

***

No. 5
## Cs2SnTe3 (GGA-PBE)

Data for a geometry-optimized Cs2SnTe3 structure.

Cell lengths 8.1560, 9.4045, 18.4889 Å; angles 89.34, 88.48, 64.30 degrees
Element x y z (fractional)
1 Cs 0.5733 0.4046 0.3483
2 Cs 0.0221 0.4046 0.1517
3 Cs 0.4267 0.5954 0.6517
4 Cs 0.9779 0.5954 0.8483
5 Cs 0.3433 0.8101 0.0661
6 Cs 0.8465 0.8101 0.4339
7 Cs 0.6567 0.1899 0.9339
8 Cs 0.1535 0.1899 0.5661
9 Sn 0.7337 0.9932 0.1614
10 Sn 0.2731 0.9932 0.3386
11 Sn 0.2663 0.0068 0.8386
12 Sn 0.7269 0.0068 0.6614
13 Te 0.5894 0.8212 0.2500
14 Te 0.4106 0.1788 0.7500
15 Te 0.5354 0.3097 0.1369
16 Te 0.1549 0.3097 0.3631
17 Te 0.4646 0.6903 0.8631
18 Te 0.8451 0.6903 0.6369
19 Te 0.6599 0.2043 0.5453
20 Te 0.1357 0.2043 0.9547
21 Te 0.3401 0.7957 0.4547
22 Te 0.8643 0.7957 0.0453
23 Te 0.9620 0.0760 0.2500
24 Te 0.0380 0.9240 0.7500

Properties
Total energy (eV per cell): -77.52
Distance to the lowest polymorph of the same formula (meV per atom): 0
Symmetry: C2/c

***

No. 6
## Cs2SnTe3 (GGA-PBE)

Data for a geometry-optimized Cs2SnTe3 structure.

Cell lengths 8.2384, 8.7958, 8.7958 Å; angles 68.17, 81.52, 81.52 degrees
Element x y z (fractional)
1 Cs 0.6767 0.1784 0.5049
2 Cs 0.1767 0.5049 0.1784
3 Cs 0.8233 0.4951 0.8216
4 Cs 0.3233 0.8216 0.4951
5 Sn 0.7500 0.9179 0.0821
6 Sn 0.2500 0.0821 0.9179
7 Te 0.2500 0.3605 0.6395
8 Te 0.7500 0.6395 0.3605
9 Te 0.9865 0.9153 0.8199
10 Te 0.5135 0.1801 0.0847
11 Te 0.4865 0.8199 0.9153
12 Te 0.0135 0.0847 0.1801

Properties
Total energy (eV per cell): -38.52
Distance to the lowest polymorph of the same formula (meV per atom): 20
Symmetry: C2/c

***

No. 7
## Cs3SnTe3 (GGA-PBE)

Data for a geometry-optimized Cs3SnTe3 structure.

Cell lengths 9.4072, 9.4077, 9.4077 Å; angles 112.82, 96.91, 96.91 degrees
Element x y z (fractional)
1 Cs 0.3601 0.6099 0.6099
2 Cs 0.5000 0.1739 0.8261
3 Cs 0.5000 0.8261 0.1739
4 Cs 0.0000 0.2435 0.7565
5 Cs 0.0000 0.7565 0.2435
6 Cs 0.6399 0.3901 0.3901
7 Sn 0.8577 0.8345 0.8345
8 Sn 0.1423 0.1655 0.1655
9 Te 0.1936 0.8966 0.8966
10 Te 0.7190 0.8463 0.5529
11 Te 0.7190 0.5529 0.8463
12 Te 0.2810 0.1537 0.4471
13 Te 0.2810 0.4471 0.1537
14 Te 0.8064 0.1034 0.1034

Properties
D(E_F) (states/eV per cell): 5.3
Total energy (eV per cell): -43.49
Distance to the lowest polymorph of the same formula (meV per atom): 67
Symmetry: C2/m

***

No. 8
## Cs2Th2SnTe6 (GGA-PBE)

Data for a geometry-optimized Cs2Th2SnTe6 structure.

Cell lengths 8.0119, 8.0119, 9.4560 Å; angles 97.85, 97.85, 120.09 degrees
Element x y z (fractional)
1 Cs 0.8368 0.1632 0.0000
2 Cs 0.1632 0.8368 0.0000
3 Th 0.3334 0.6666 0.5000
4 Th 0.6666 0.3334 0.5000
5 Sn 0.0000 0.0000 0.5000
6 Te 0.7181 0.7181 0.6904
7 Te 0.0618 0.4035 0.6899
8 Te 0.2819 0.2819 0.3096
9 Te 0.4035 0.0618 0.6899
10 Te 0.9382 0.5965 0.3101
11 Te 0.5965 0.9382 0.3101

Properties
D(E_F) (states/eV per cell): 0.0
Total energy (eV per cell): -51.36
Symmetry: C2/m

***

For each record above, in turn, the calculated ΔE_f (raw) values are -55, -545, 113, -682, -707, -687, -822, -1087 meV per atom.